TiCd2Os: relaxed, PBEsol.

```
16
Lattice="6.433 0.000 0.000 0.000 6.433 0.000 0.000 0.000 6.433" Properties=species:S:1:pos:R:3 pbc="T T T"
Ti 0.000 0.000 0.000
Ti 0.000 3.216 3.216
Ti 3.216 0.000 3.216
Ti 3.216 3.216 0.000
Cd 1.608 1.608 1.608
Cd 1.608 1.608 4.825
Cd 1.608 4.825 1.608
Cd 1.608 4.825 4.825
Cd 4.825 1.608 1.608
Cd 4.825 1.608 4.825
Cd 4.825 4.825 1.608
Cd 4.825 4.825 4.825
Os 0.000 0.000 3.216
Os 0.000 3.216 0.000
Os 3.216 0.000 0.000
Os 3.216 3.216 3.216
```

Computed properties:
The calculation puts the calculated formation energy at 363 meV per atom.

TiCo2Cl: relaxed, PBEsol.

```
16
Lattice="5.849 0.000 0.000 0.000 5.849 0.000 0.000 0.000 5.849" Properties=species:S:1:pos:R:3 pbc="T T T"
Ti 0.000 0.000 0.000
Ti 0.000 2.924 2.924
Ti 2.924 0.000 2.924
Ti 2.924 2.924 0.000
Co 1.462 1.462 1.462
Co 1.462 1.462 4.387
Co 1.462 4.387 1.462
Co 1.462 4.387 4.387
Co 4.387 1.462 1.462
Co 4.387 1.462 4.387
Co 4.387 4.387 1.462
Co 4.387 4.387 4.387
Cl 0.000 0.000 2.924
Cl 0.000 2.924 0.000
Cl 2.924 0.000 0.000
Cl 2.924 2.924 2.924
```

Computed properties:
The energy relative to the elements, uncorrected is 10.21 kcal/mol of atoms.

BaHgSe: relaxed, PBEsol.

```
12
Lattice="7.399 0.000 0.000 0.000 7.399 0.000 0.000 0.000 7.399" Properties=species:S:1:pos:R:3 pbc="T T T"
Ba 0.000 0.000 0.000
Ba 0.000 3.700 3.700
Ba 3.700 0.000 3.700
Ba 3.700 3.700 0.000
Hg 1.850 1.850 5.549
Hg 1.850 5.549 1.850
Hg 5.549 1.850 1.850
Hg 5.549 5.549 5.549
Se 0.000 0.000 3.700
Se 0.000 3.700 0.000
Se 3.700 0.000 0.000
Se 3.700 3.700 3.700
```

Computed properties:
The calculation puts the excess energy over the best structure of this formula in the dataset at 179 meV/atom. The energy relative to the elements, uncorrected is -21.12 kcal/mol of atoms.